1.
Computed, not measured: TmIn6Ag6 after structural relaxation at the PBE level of DFT.

Total DFT energy (no corrections), eV per atom: -3.047
Space-group type: Immm (71)
Total moment, Bohr magnetons per cell: 0.0
Energy of formation from the pure elements, meV/atom: -123.6
Crystal system: orthorhombic

abc: 7.486 7.486 7.486
angles: 133.97 99.46 98.13
Element x y z (fractional)
Tm: 0.000 0.000 0.000
In: 0.174 0.674 0.500
In: 0.339 0.339 0.000
In: 0.345 0.000 0.345
In: 0.655 0.000 0.655
In: 0.661 0.661 0.000
In: 0.826 0.326 0.500
Ag: 0.000 0.000 0.500
Ag: 0.000 0.500 0.000
Ag: 0.241 0.500 0.741
Ag: 0.500 0.000 0.000
Ag: 0.500 0.500 0.500
Ag: 0.759 0.500 0.259


2.
Computed, not measured: TmInAg4 after structural relaxation at the PBE level of DFT.

Total DFT energy (no corrections), eV per atom: -3.308
Space-group type: F-43m (216)
Total moment, Bohr magnetons per cell: 0.0
Energy of formation from the pure elements, meV/atom: -205.4
Crystal system: cubic

abc: 5.573 5.573 5.573
angles: 60.00 60.00 60.00
Element x y z (fractional)
Tm: 0.000 0.000 0.000
In: 0.750 0.750 0.750
Ag: 0.375 0.375 0.375
Ag: 0.375 0.375 0.875
Ag: 0.375 0.875 0.375
Ag: 0.875 0.375 0.375


3.
Computed, not measured: Tm4InAg3 after structural relaxation at the PBE level of DFT.

Total DFT energy (no corrections), eV per atom: -4.009
Space-group type: R-3m (166)
Total moment, Bohr magnetons per cell: 0.0
Energy of formation from the pure elements, meV/atom: -362.0
Crystal system: trigonal

abc: 8.895 8.895 8.895
angles: 33.45 33.45 33.45
Element x y z (fractional)
Tm: 0.121 0.121 0.121
Tm: 0.372 0.372 0.372
Tm: 0.628 0.628 0.628
Tm: 0.879 0.879 0.879
In: 0.500 0.500 0.500
Ag: 0.000 0.000 0.000
Ag: 0.247 0.247 0.247
Ag: 0.753 0.753 0.753


4.
Computed, not measured: TmIn2Ag after structural relaxation at the PBE level of DFT.

Total DFT energy (no corrections), eV per atom: -3.507
Space-group type: P4/mmm (123)
Total moment, Bohr magnetons per cell: 0.0
Energy of formation from the pure elements, meV/atom: -307.6
Crystal system: tetragonal

abc: 4.523 4.523 4.480
angles: 90.00 90.00 90.00
Element x y z (fractional)
Tm: 0.000 0.000 0.000
In: 0.000 0.500 0.500
In: 0.500 0.000 0.500
Ag: 0.500 0.500 0.000


5.
Computed, not measured: Tm2InAg after structural relaxation at the PBE level of DFT.

Total DFT energy (no corrections), eV per atom: -3.813
Space-group type: R-3m (166)
Total moment, Bohr magnetons per cell: 0.0
Energy of formation from the pure elements, meV/atom: -179.7
Crystal system: trigonal

abc: 9.477 9.477 9.477
angles: 22.09 22.09 22.09
Element x y z (fractional)
Tm: 0.246 0.246 0.246
Tm: 0.754 0.754 0.754
In: 0.000 0.000 0.000
Ag: 0.500 0.500 0.500


6.
Computed, not measured: Tm4InAg after structural relaxation at the PBE level of DFT.

Total DFT energy (no corrections), eV per atom: -3.966
Space-group type: Cmc2_1 (36)
Excess energy over the best structure of this formula in the dataset, meV/atom: 193
Total moment, Bohr magnetons per cell: 0.0
Energy of formation from the pure elements, meV/atom: -53.1
Crystal system: orthorhombic

abc: 10.878 10.878 6.402
angles: 90.00 90.00 151.97
Element x y z (fractional)
Tm: 0.060 0.940 0.500
Tm: 0.196 0.804 0.788
Tm: 0.212 0.788 0.301
Tm: 0.373 0.627 0.559
Tm: 0.627 0.373 0.059
Tm: 0.788 0.212 0.801
Tm: 0.804 0.196 0.288
Tm: 0.940 0.060 0.000
In: 0.346 0.654 0.046
In: 0.654 0.346 0.546
Ag: 0.075 0.925 0.013
Ag: 0.925 0.075 0.513


7.
Computed, not measured: TmIn2Ag after structural relaxation at the PBE level of DFT.

Total DFT energy (no corrections), eV per atom: -3.546
Space-group type: I4/mmm (139)
Total moment, Bohr magnetons per cell: 0.0
Energy of formation from the pure elements, meV/atom: -346.0
Crystal system: tetragonal

abc: 9.029 9.029 9.029
angles: 150.04 150.04 42.89
Element x y z (fractional)
Tm: 0.130 0.130 0.000
Tm: 0.870 0.870 0.000
In: 0.000 0.500 0.500
In: 0.356 0.356 0.000
In: 0.500 0.000 0.500
In: 0.644 0.644 0.000
Ag: 0.250 0.750 0.500
Ag: 0.750 0.250 0.500


8.
Computed, not measured: Tm2InAg after structural relaxation at the PBE level of DFT.

Total DFT energy (no corrections), eV per atom: -4.031
Space-group type: P4/mmm (123)
Total moment, Bohr magnetons per cell: 0.0
Energy of formation from the pure elements, meV/atom: -398.1
Crystal system: tetragonal

abc: 3.592 3.592 7.574
angles: 90.00 90.00 90.00
Element x y z (fractional)
Tm: 0.000 0.000 0.236
Tm: 0.000 0.000 0.764
In: 0.500 0.500 0.500
Ag: 0.500 0.500 0.000


9.
Computed, not measured: Tm12In6Ag after structural relaxation at the PBE level of DFT.

Total DFT energy (no corrections), eV per atom: -3.822
Space-group type: R-3 (148)
Total moment, Bohr magnetons per cell: 0.0
Energy of formation from the pure elements, meV/atom: 17.4
Crystal system: trigonal

abc: 8.699 8.699 8.699
angles: 100.17 100.17 100.17
Element x y z (fractional)
Tm: 0.048 0.942 0.681
Tm: 0.058 0.319 0.952
Tm: 0.181 0.569 0.431
Tm: 0.319 0.952 0.058
Tm: 0.431 0.181 0.569
Tm: 0.431 0.569 0.819
Tm: 0.569 0.431 0.181
Tm: 0.569 0.819 0.431
Tm: 0.681 0.048 0.942
Tm: 0.819 0.431 0.569
Tm: 0.942 0.681 0.048
Tm: 0.952 0.058 0.319
In: 0.135 0.302 0.619
In: 0.302 0.619 0.135
In: 0.381 0.865 0.698
In: 0.619 0.135 0.302
In: 0.698 0.381 0.865
In: 0.865 0.698 0.381
Ag: 0.000 0.000 0.000


10.
Computed, not measured: Tm3InAg2 after structural relaxation at the PBE level of DFT.

Total DFT energy (no corrections), eV per atom: -4.021
Space-group type: P4/mmm (123)
Total moment, Bohr magnetons per cell: 0.0
Energy of formation from the pure elements, meV/atom: -378.1
Crystal system: tetragonal

abc: 3.569 3.569 11.290
angles: 90.00 90.00 90.00
Element x y z (fractional)
Tm: 0.000 0.000 0.000
Tm: 0.000 0.000 0.321
Tm: 0.000 0.000 0.679
In: 0.500 0.500 0.500
Ag: 0.500 0.500 0.162
Ag: 0.500 0.500 0.838


11.
Computed, not measured: Tm12In3Ag after structural relaxation at the PBE level of DFT.

Total DFT energy (no corrections), eV per atom: -4.234
Space-group type: P4/mmm (123)
Total moment, Bohr magnetons per cell: 0.0
Energy of formation from the pure elements, meV/atom: -188.9
Crystal system: tetragonal

abc: 4.782 4.782 18.949
angles: 90.00 90.00 90.00
Element x y z (fractional)
Tm: 0.000 0.000 0.000
Tm: 0.000 0.000 0.247
Tm: 0.000 0.000 0.500
Tm: 0.000 0.000 0.753
Tm: 0.000 0.500 0.121
Tm: 0.000 0.500 0.374
Tm: 0.000 0.500 0.626
Tm: 0.000 0.500 0.879
Tm: 0.500 0.000 0.121
Tm: 0.500 0.000 0.374
Tm: 0.500 0.000 0.626
Tm: 0.500 0.000 0.879
In: 0.500 0.500 0.248
In: 0.500 0.500 0.500
In: 0.500 0.500 0.752
Ag: 0.500 0.500 0.000


12.
Computed, not measured: Tm3In4Ag2 after structural relaxation at the PBE level of DFT.

Total DFT energy (no corrections), eV per atom: -3.723
Space-group type: C2/m (12)
Total moment, Bohr magnetons per cell: 0.0
Energy of formation from the pure elements, meV/atom: -382.1
Crystal system: monoclinic

abc: 5.984 5.984 9.143
angles: 115.94 115.94 48.02
Element x y z (fractional)
Tm: 0.000 0.000 0.000
Tm: 0.332 0.332 0.340
Tm: 0.668 0.668 0.660
In: 0.048 0.048 0.377
In: 0.266 0.266 0.924
In: 0.734 0.734 0.076
In: 0.952 0.952 0.623
Ag: 0.392 0.392 0.722
Ag: 0.608 0.608 0.278


What did the eighth record say?
Computed, not measured: Tm2InAg after structural relaxation at the PBE level of DFT.

Total DFT energy (no corrections), eV per atom: -4.031
Space-group type: P4/mmm (123)
Total moment, Bohr magnetons per cell: 0.0
Energy of formation from the pure elements, meV/atom: -398.1
Crystal system: tetragonal

abc: 3.592 3.592 7.574
angles: 90.00 90.00 90.00
Element x y z (fractional)
Tm: 0.000 0.000 0.236
Tm: 0.000 0.000 0.764
In: 0.500 0.500 0.500
Ag: 0.500 0.500 0.000